[1]
Hf2MgBrCl after structural relaxation, computed with PBE.

```
Hf2MgBrCl
1.0
4.933 0.000 0.000
0.000 4.933 0.000
0.000 0.000 5.907
Hf Mg Br Cl
2 1 1 1
Direct
0.000 0.500 0.000
0.500 0.000 0.000
0.000 0.000 0.500
0.500 0.500 0.000
0.500 0.500 0.500
```

Total moment (Bohr magnetons per cell): 0.0
Electronic total energy (eV for the cell shown): -21.97
Energy relative to the elements, uncorrected (meV per atom): 611
Space group: No. 123

---

[2]
AlCdSi after structural relaxation, computed with PBE.

```
AlCdSi
1.0
2.844 0.000 0.000
0.000 3.784 0.000
0.000 0.000 5.742
Al Cd Si
1 1 1
Direct
0.000 0.000 0.000
0.500 0.000 0.568
0.500 0.500 0.203
```

Total moment (Bohr magnetons per cell): 0.0
Electronic total energy (eV for the cell shown): -9.35
Energy relative to the elements, uncorrected (meV per atom): 244
Space group: No. 25

---

[3]
CaTb4Ho3Se8 after structural relaxation, computed with PBE.

```
CaTb4Ho3Se8
1.0
4.085 2.359 6.692
-4.085 2.359 6.692
0.000 -4.717 6.692
Ca Tb Ho Se
1 4 3 8
Direct
0.000 0.000 0.000
0.000 0.000 0.500
0.000 0.500 0.000
0.500 0.000 0.000
0.500 0.500 0.500
0.000 0.500 0.500
0.500 0.000 0.500
0.500 0.500 0.000
0.250 0.250 0.748
0.250 0.748 0.250
0.251 0.251 0.251
0.252 0.750 0.750
0.748 0.250 0.250
0.749 0.749 0.749
0.750 0.252 0.750
0.750 0.750 0.252
```

Total moment (Bohr magnetons per cell): 0.0
Electronic total energy (eV for the cell shown): -90.53
Energy relative to the elements, uncorrected (meV per atom): -1775
Space group: No. 166

---

[4]
Ti3NbBi after structural relaxation, computed with PBE.

```
Ti3NbBi
1.0
4.859 0.000 0.000
0.000 4.859 0.000
0.000 0.000 4.859
Ti Nb Bi
3 1 1
Direct
0.000 0.000 0.500
0.000 0.500 0.000
0.500 0.000 0.000
0.000 0.000 0.000
0.500 0.500 0.500
```

Energy relative to the lowest polymorph listed for this composition (meV/atom): 717
Total moment (Bohr magnetons per cell): 2.2
Electronic total energy (eV for the cell shown): -33.79
Space group: No. 221

---

[5]
PaBe2Pt2C after structural relaxation, computed with PBE.

```
PaBe2Pt2C
1.0
3.788 0.000 0.000
0.000 3.788 0.000
0.000 0.000 11.737
Pa Be Pt C
2 4 4 2
Direct
0.000 0.000 0.000
0.500 0.500 0.500
0.000 0.000 0.357
0.000 0.000 0.643
0.500 0.500 0.143
0.500 0.500 0.857
0.000 0.500 0.250
0.000 0.500 0.750
0.500 0.000 0.250
0.500 0.000 0.750
0.000 0.000 0.500
0.500 0.500 0.000
```

Total moment (Bohr magnetons per cell): 1.0
Electronic total energy (eV for the cell shown): -82.87
Space group: No. 139

---

[6]
ScGa2Ag2 after structural relaxation, computed with PBE.

```
ScGa2Ag2
1.0
7.761 0.000 0.000
0.000 7.761 0.000
0.000 0.000 3.094
Sc Ga Ag
2 4 4
Direct
0.000 0.000 0.000
0.500 0.500 0.000
0.139 0.361 0.000
0.361 0.861 0.000
0.639 0.139 0.000
0.861 0.639 0.000
0.159 0.659 0.500
0.341 0.159 0.500
0.659 0.841 0.500
0.841 0.341 0.500
```

Energy relative to the lowest polymorph listed for this composition (meV/atom): 142
Total moment (Bohr magnetons per cell): 1.3
Electronic total energy (eV for the cell shown): -37.31
Space group: No. 127